No. 1
# Tb2SI3 | Alexandria via LeMat-Bulk | PBE | optimized geometry
# energy relative to the elements, uncorrected: -1.4862 eV per atom
# Fermi-level density of states: 4.714 states/eV/cell
# calculated total energy: -107.822 eV for the cell shown
data_Tb2SI3
_chemical_formula_sum 'Tb8 S4 I12'
_cell_length_a 18.4284
_cell_length_b 4.5170
_cell_length_c 12.3369
_cell_angle_alpha 90.00
_cell_angle_beta 121.43
_cell_angle_gamma 90.00
_space_group_name_H-M_alt 'C 1 2/m 1'
_space_group_IT_number 12
_space_group_name_Hall '-C 2y'
loop_
_atom_site_label
_atom_site_fract_x
_atom_site_fract_y
_atom_site_fract_z
Tb1 0.0840 0.0000 0.4526
Tb2 0.1403 0.5000 0.7962
S1 0.0856 0.0000 0.6704
I1 0.0445 0.5000 0.2439
I2 0.1621 0.0000 0.0114
I3 0.2223 0.5000 0.6126



No. 2
# NaIn2Se2 | Alexandria via LeMat-Bulk | PBE | optimized geometry
# energy relative to the elements, uncorrected: -0.4584 eV per atom
# Fermi-level density of states: 6.248 states/eV/cell
# calculated total energy: -32.114 eV for the cell shown
data_NaIn2Se2
_chemical_formula_sum 'Na2 In4 Se4'
_cell_length_a 8.3158
_cell_length_b 8.3158
_cell_length_c 4.0419
_cell_angle_alpha 90.00
_cell_angle_beta 90.00
_cell_angle_gamma 90.00
_space_group_name_H-M_alt 'P 4/m b m'
_space_group_IT_number 127
_space_group_name_Hall '-P 4 2ab'
loop_
_atom_site_label
_atom_site_fract_x
_atom_site_fract_y
_atom_site_fract_z
Na1 0.0000 0.0000 0.0000
In1 0.1246 0.3754 0.5000
Se1 0.2093 0.7093 0.0000



No. 3
# ScTcMo2 | Alexandria via LeMat-Bulk | PBE | optimized geometry
# formation energy: 0.03 eV/f.u.
# Fermi-level density of states: 3.902 states/eV/cell
# calculated total energy: -38.330 eV for the cell shown
data_ScTcMo2
_chemical_formula_sum 'Sc1 Tc1 Mo2'
_cell_length_a 2.8293
_cell_length_b 4.5101
_cell_length_c 5.2252
_cell_angle_alpha 90.00
_cell_angle_beta 101.94
_cell_angle_gamma 90.00
_space_group_name_H-M_alt 'P 1 2/m 1'
_space_group_IT_number 10
_space_group_name_Hall '-P 2y'
loop_
_atom_site_label
_atom_site_fract_x
_atom_site_fract_y
_atom_site_fract_z
Sc1 0.0000 0.0000 0.0000
Tc1 0.5000 0.0000 0.5000
Mo1 0.2701 0.5000 0.7476



No. 4
# Ac2PmPN5 | Alexandria via LeMat-Bulk | PBE | optimized geometry
# energy relative to the elements, uncorrected: -1.0127 eV per atom
# Fermi-level density of states: 20.326 states/eV/cell
# calculated total energy: -276.475 eV for the cell shown
data_Ac2PmPN5
_chemical_formula_sum 'Ac8 Pm4 P4 N20'
_cell_length_a 7.0278
_cell_length_b 7.0278
_cell_length_c 11.1199
_cell_angle_alpha 90.00
_cell_angle_beta 90.00
_cell_angle_gamma 90.00
_space_group_name_H-M_alt 'I 4/m c m'
_space_group_IT_number 140
_space_group_name_Hall '-I 4 2c'
loop_
_atom_site_label
_atom_site_fract_x
_atom_site_fract_y
_atom_site_fract_z
Ac1 0.1812 0.3188 0.0000
Pm1 0.0000 0.0000 0.2500
P1 0.0000 0.5000 0.2500
N1 0.0000 0.0000 0.0000
N2 0.1330 0.3670 0.3399



No. 5
# K2Se2Br7 | Alexandria via LeMat-Bulk | PBE | optimized geometry
# energy relative to the elements, uncorrected: -0.5861 eV per atom
# Fermi-level density of states: 8.878 states/eV/cell
# calculated total energy: -54.643 eV for the cell shown
data_K2Se2Br7
_chemical_formula_sum 'K4 Se4 Br14'
_cell_length_a 10.3055
_cell_length_b 12.1209
_cell_length_c 7.4646
_cell_angle_alpha 90.00
_cell_angle_beta 94.41
_cell_angle_gamma 90.00
_space_group_name_H-M_alt 'C 1 2/m 1'
_space_group_IT_number 12
_space_group_name_Hall '-C 2y'
loop_
_atom_site_label
_atom_site_fract_x
_atom_site_fract_y
_atom_site_fract_z
K1 0.0000 0.2196 0.0000
Se1 0.2480 0.0000 0.5294
Br1 0.0000 0.5000 0.5000
Br2 0.2036 0.0000 0.1977
Br3 0.2487 0.3349 0.2303



No. 6
# Tb5Sm3Sb8 | Alexandria via LeMat-Bulk | PBE | optimized geometry
# energy relative to the elements, uncorrected: -1.1579 eV per atom
# Fermi-level density of states: 7.154 states/eV/cell
# calculated total energy: -266.445 eV for the cell shown
data_Tb5Sm3Sb8
_chemical_formula_sum 'Tb15 Sm9 Sb24'
_cell_length_a 8.8580
_cell_length_b 8.8580
_cell_length_c 21.6935
_cell_angle_alpha 90.00
_cell_angle_beta 90.00
_cell_angle_gamma 120.00
_space_group_name_H-M_alt 'R -3 m'
_space_group_IT_number 166
_space_group_name_Hall '-R 3 2"'
loop_
_atom_site_label
_atom_site_fract_x
_atom_site_fract_y
_atom_site_fract_z
Tb1 0.0000 0.0000 0.0000
Tb2 0.0000 0.0000 0.5000
Tb3 0.0000 0.5000 0.0000
Sm1 0.0000 0.5000 0.5000
Sb1 0.0000 0.0000 0.2515
Sb2 0.0020 0.5010 0.2510